Material: PaPdNO
Method: DFT, PBE-GGA
State: optimized geometry

Geometry as POSCAR:
```
PaPdNO
1.0
-0.630 4.276 0.838
-4.930 -0.774 0.245
0.385 -0.903 4.899
N O Pa Pd
2 2 2 2
direct
0.527 0.250 0.250
0.472 0.750 0.750
0.000 0.750 0.250
0.000 0.250 0.750
0.501 0.750 0.250
0.501 0.250 0.750
0.042 0.250 0.250
0.957 0.750 0.750
```

Computed properties:
Its total energy is -7.8467 eV per atom. The space-group type is P4mm (99). As for the energy above the most stable polymorph in this dataset: 1.10 eV per formula unit. Its density is 11.10 g/cm3. The calculation puts the calculated volume at 109.9 Å³/cell. As for the crystal system: tetragonal.

Material: LiPd3Se5
Method: DFT, PBE-GGA
State: optimized geometry

Geometry as POSCAR:
```
LiPd3Se5
1.0
6.126 0.000 0.000
-3.063 5.306 0.000
0.000 0.000 6.684
Li Pd Se
1 3 5
direct
0.000 0.000 0.000
0.500 0.000 0.500
0.000 0.500 0.500
0.500 0.500 0.500
0.667 0.333 0.238
0.333 0.667 0.238
0.000 0.000 0.500
0.667 0.333 0.762
0.333 0.667 0.762
```

Computed properties:
Its total energy is -4.0791 eV per atom. The space-group type is P6/mmm (191). Its density is 5.51 g/cm3. The calculation puts the calculated volume at 217.3 Å³/cell. As for the crystal system: hexagonal.

Material: PaSiAsO
Method: DFT, PBE-GGA
State: optimized geometry

Geometry as POSCAR:
```
PaSiAsO
1.0
-0.487 4.413 0.605
-5.691 -0.670 0.302
0.520 -0.987 7.618
As O Pa Si
2 2 2 2
direct
0.000 0.885 0.394
0.000 0.115 0.894
0.500 0.359 0.270
0.500 0.641 0.770
0.500 0.572 0.498
0.500 0.428 0.998
0.000 0.793 0.092
0.000 0.207 0.592
```

Computed properties:
Its total energy is -6.7864 eV per atom. The space-group type is Pmc2_1 (26). As for the energy above the most stable polymorph in this dataset: 0.86 eV per formula unit. Its density is 5.87 g/cm3. The calculation puts the calculated volume at 198.0 Å³/cell. As for the crystal system: orthorhombic.

Material: Er2TmSc3NiTe2
Method: DFT, PBE-GGA
State: optimized geometry

Geometry as POSCAR:
```
Er2TmSc3NiTe2
1.0
-0.829 3.621 1.155
5.003 -0.815 6.148
2.654 2.828 -6.961
Er Ni Sc Te Tm
2 1 3 2 1
direct
0.000 0.608 0.000
0.000 0.000 0.608
0.000 0.002 0.002
0.500 0.233 0.000
0.500 0.000 0.233
0.500 0.767 0.767
0.500 0.666 0.333
0.500 0.333 0.666
0.000 0.390 0.390
```

Computed properties:
Its total energy is -5.6519 eV per atom. The space-group type is Amm2 (38). Its density is 7.40 g/cm3. The calculation puts the calculated volume at 213.7 Å³/cell. As for the crystal system: orthorhombic.

Material: CoBiIr2
Method: DFT, PBE-GGA
State: optimized geometry

Geometry as POSCAR:
```
CoBiIr2
1.0
0.000 3.187 3.187
3.187 0.000 3.187
3.187 3.187 0.000
Bi Co Ir
1 1 2
direct
0.500 0.500 0.500
0.250 0.250 0.250
0.000 0.000 0.000
0.750 0.750 0.750
```

Computed properties:
Its total energy is -6.6253 eV per atom. The space-group type is F-43m (216). Its density is 16.73 g/cm3. The calculation puts the calculated volume at 64.8 Å³/cell. As for the crystal system: cubic.

Material: MgReGeAs
Method: DFT, PBE-GGA
State: optimized geometry

Geometry as POSCAR:
```
MgReGeAs
1.0
-0.448 -4.312 1.137
-3.003 -1.199 3.104
-3.679 -2.262 -1.197
As Ge Mg Re
1 1 1 1
direct
0.500 0.500 0.500
0.000 0.000 0.000
0.750 0.750 0.750
0.250 0.250 0.250
```

Computed properties:
Its total energy is -5.6189 eV per atom. The space-group type is F-43m (216). As for the energy above the most stable polymorph in this dataset: 0.00 eV per formula unit. Its density is 9.34 g/cm3. The calculation puts the calculated volume at 63.7 Å³/cell. As for the crystal system: cubic.